DFT (PBE) results for a geometry-optimized Zr2TlAuBr structure.

## Properties
**Formation energy from raw total energies**: 0.597 eV per atom
**Magnetic moment**: 0.376 μB per atom
**Symmetry**: P4/mmm (123)
**Fermi-level density of states**: 1.293 states/eV/atom
**E_tot**: -4.286 eV/atom

extended XYZ file:
```
5
Lattice="-0.9397 -4.9975 -1.6790 2.9487 -1.9026 4.0129 -4.3612 -0.2213 3.0997" Properties=species:S:1:pos:R:3 pbc="T T T"
Zr -0.4699 -2.4988 -0.8395
Zr -2.1806 -0.1107 1.5499
Tl 1.4744 -0.9513 2.0064
Au 0.0000 0.0000 0.0000
Br -1.1761 -3.5607 2.7168
```